[1]
## KNd3Te8 (PBE)

Data for a relaxed structure of KNd3Te8.

Properties
**Space group**: P2_1/c
**Uncorrected energy**: -4.524 eV/atom
**Calculated density**: 5.961 g cm⁻³

```
KNd3Te8
1.0
-1.063 3.071 -14.088
11.572 -5.394 -2.049
-3.806 -8.180 0.041
K Te Nd
4 32 12
direct
0.964 0.406 0.246 K
0.964 0.094 0.746 K
0.036 0.906 0.254 K
0.036 0.594 0.754 K
0.580 0.246 0.647 Te
0.417 0.085 0.855 Te
0.178 0.750 0.537 Te
0.580 0.254 0.147 Te
0.822 0.250 0.963 Te
0.168 0.269 0.785 Te
0.178 0.750 0.037 Te
0.826 0.580 0.974 Te
0.583 0.585 0.645 Te
0.168 0.231 0.285 Te
0.173 0.080 0.048 Te
0.583 0.915 0.145 Te
0.174 0.080 0.526 Te
0.417 0.415 0.355 Te
0.176 0.905 0.787 Te
0.832 0.731 0.215 Te
0.832 0.769 0.715 Te
0.827 0.920 0.952 Te
0.585 0.580 0.150 Te
0.420 0.754 0.353 Te
0.415 0.420 0.850 Te
0.822 0.250 0.463 Te
0.174 0.420 0.026 Te
0.420 0.746 0.853 Te
0.824 0.095 0.213 Te
0.173 0.420 0.548 Te
0.176 0.595 0.287 Te
0.827 0.580 0.452 Te
0.585 0.920 0.650 Te
0.824 0.405 0.713 Te
0.826 0.920 0.474 Te
0.415 0.080 0.350 Te
0.353 0.916 0.592 Nd
0.348 0.250 0.084 Nd
0.351 0.915 0.077 Nd
0.649 0.085 0.923 Nd
0.652 0.750 0.916 Nd
0.647 0.416 0.908 Nd
0.647 0.084 0.408 Nd
0.353 0.584 0.092 Nd
0.652 0.750 0.416 Nd
0.649 0.415 0.423 Nd
0.348 0.250 0.584 Nd
0.351 0.585 0.577 Nd
```

[2]
## Gd2HoAs3 (PBE)

Data for a relaxed structure of Gd2HoAs3.

Properties
**Space group**: P-3m1
**Uncorrected energy**: -6.177 eV/atom
**Calculated density**: 7.800 g cm⁻³

```
Gd2HoAs3
1.0
-2.242 -0.806 3.380
3.534 -2.038 -0.671
5.081 7.139 5.072
As Ho Gd
3 1 2
direct
0.333 0.667 0.337 As
0.000 0.000 0.000 As
0.667 0.333 0.663 As
0.000 0.000 0.500 Ho
0.333 0.667 0.832 Gd
0.667 0.333 0.168 Gd
```

[3]
## BaTcPO (PBE)

Data for a relaxed structure of BaTcPO.

Properties
**Excess energy over the best structure of this formula in the dataset**: 1222 meV per atom
**Space group**: P4/nmm
**Calculated density**: 5.197 g cm⁻³

```
BaTcPO
1.0
4.340 0.000 0.000
0.000 4.340 0.000
0.000 0.000 9.576
Ba Tc O P
2 2 2 2
direct
0.250 0.750 0.500 Ba
0.750 0.250 0.500 Ba
0.750 0.750 0.038 Tc
0.250 0.250 0.962 Tc
0.750 0.250 0.000 O
0.250 0.750 0.000 O
0.250 0.250 0.735 P
0.750 0.750 0.265 P
```

[4]
## SrZnOs (PBE)

Data for a relaxed structure of SrZnOs.

Properties
**Space group**: F-43m
**Uncorrected energy**: -3.846 eV/atom
**Calculated density**: 8.154 g cm⁻³

```
SrZnOs
1.0
-2.977 -3.322 -1.217
-3.520 0.975 -2.836
-0.003 -1.630 -4.327
Os Zn Sr
1 1 1
direct
0.000 0.000 0.000 Os
0.750 0.750 0.750 Zn
0.250 0.250 0.250 Sr
```

[5]
## Y2ZrPb2 (PBE)

Data for a relaxed structure of Y2ZrPb2.

Properties
**Space group**: P4/mbm
**Uncorrected energy**: -6.148 eV/atom
**Calculated density**: 8.194 g cm⁻³

```
Y2ZrPb2
1.0
-2.987 -1.691 7.196
2.278 -7.594 -0.839
3.843 0.952 1.819
Pb Zr Y
4 2 4
direct
0.642 0.142 0.000 Pb
0.858 0.642 0.000 Pb
0.358 0.858 0.000 Pb
0.142 0.358 0.000 Pb
0.500 0.500 0.000 Zr
0.000 0.000 0.000 Zr
0.834 0.334 0.500 Y
0.666 0.834 0.500 Y
0.166 0.666 0.500 Y
0.334 0.166 0.500 Y
```

[6]
## NaCuB4 (PBE)

Data for a relaxed structure of NaCuB4.

Properties
**Excess energy over the best structure of this formula in the dataset**: 117 meV per atom
**Space group**: Immm
**Calculated density**: 3.706 g cm⁻³

```
NaCuB4
1.0
1.587 0.470 4.503
1.455 4.571 0.058
-3.843 -2.848 -0.369
B Na Cu
4 1 1
direct
0.091 0.754 0.337 B
0.416 0.754 0.663 B
0.584 0.246 0.337 B
0.909 0.246 0.663 B
0.000 0.000 0.000 Na
0.500 0.500 0.000 Cu
```

[7]
## SiAgAu (PBE)

Data for a relaxed structure of SiAgAu.

Properties
**Excess energy over the best structure of this formula in the dataset**: 23 meV per atom
**Space group**: Pnma
**Calculated density**: 10.530 g cm⁻³

```
SiAgAu
1.0
-2.761 -4.693 -3.860
3.684 -0.503 -2.023
1.988 -5.211 4.914
Ag Au Si
4 4 4
direct
0.017 0.250 0.666 Ag
0.517 0.250 0.834 Ag
0.983 0.750 0.334 Ag
0.483 0.750 0.166 Ag
0.839 0.750 0.937 Au
0.661 0.250 0.437 Au
0.161 0.250 0.063 Au
0.339 0.750 0.563 Au
0.723 0.750 0.621 Si
0.777 0.250 0.121 Si
0.277 0.250 0.379 Si
0.223 0.750 0.879 Si
```

[8]
## Y3ReTe5 (PBE)

Data for a relaxed structure of Y3ReTe5.

Properties
**Excess energy over the best structure of this formula in the dataset**: 10 meV per atom
**Space group**: P-62m
**Calculated density**: 6.741 g cm⁻³

```
Y3ReTe5
1.0
-1.737 2.081 7.976
-4.832 -5.592 -4.042
2.576 -3.242 1.407
Te Y Re
5 3 1
direct
0.000 0.689 0.000 Te
0.311 0.311 0.000 Te
0.689 0.000 0.000 Te
0.333 0.667 0.500 Te
0.667 0.333 0.500 Te
0.262 0.000 0.500 Y
0.000 0.262 0.500 Y
0.738 0.738 0.500 Y
0.000 0.000 0.000 Re
```